Entry 1:
The following is a DFT calculation (PBE) of ZrTa5C3 after structural relaxation.

Results
Symmetry: C2/m, No. 12
Energy relative to the elements: -0.483 eV/atom
Raw total energy: -199.66 eV/cell

a = 6.1398 Å, b = 6.1398 Å, c = 8.1373 Å
α = 110.64°, β = 110.64°, γ = 72.82°
Fractional positions:
Zr 0.1030 0.1030 0.3068
Zr 0.8970 0.8970 0.6932
Ta 0.0413 0.6330 0.3286
Ta 0.2357 0.2357 0.0297
Ta 0.2964 0.7036 0.0000
Ta 0.3670 0.9587 0.6714
Ta 0.4297 0.4297 0.6368
Ta 0.5703 0.5703 0.3632
Ta 0.6330 0.0413 0.3286
Ta 0.7036 0.2964 0.0000
Ta 0.7643 0.7643 0.9703
Ta 0.9587 0.3670 0.6714
C 0.0000 0.0000 0.0000
C 0.0000 0.0000 0.5000
C 0.3326 0.3326 0.8341
C 0.3412 0.3412 0.3343
C 0.6588 0.6588 0.6657
C 0.6674 0.6674 0.1659


Entry 2:
The following is a DFT calculation (PBE) of Sr2CeF8 after structural relaxation.

Results
Uncorrected formation energy: -3.835 eV per atom
Symmetry: C2/m, No. 12
Raw total energy: -66.45 eV/cell

a = 7.6897 Å, b = 7.6897 Å, c = 5.5558 Å
α = 107.62°, β = 107.62°, γ = 30.85°
Fractional positions:
Sr 0.1807 0.1807 0.1840
Sr 0.8193 0.8193 0.8160
Ce 0.5000 0.5000 0.5000
F 0.0245 0.0245 0.3049
F 0.2216 0.2216 0.7929
F 0.3563 0.3563 0.5549
F 0.4103 0.4103 0.1046
F 0.5897 0.5897 0.8954
F 0.6437 0.6437 0.4451
F 0.7784 0.7784 0.2071
F 0.9755 0.9755 0.6951


Entry 3:
The following is a DFT calculation (PBE) of SrCdCo after structural relaxation.

Results
Symmetry: P-6m2, No. 187
Energy relative to the elements: 0.213 eV/atom
Raw total energy: -9.06 eV/cell

a = 4.5366 Å, b = 4.5366 Å, c = 4.3404 Å
α = 90.00°, β = 90.00°, γ = 120.00°
Fractional positions:
Sr 0.0000 0.0000 0.0000
Cd 0.6667 0.3333 0.5000
Co 0.3333 0.6667 0.5000


Entry 4:
The following is a DFT calculation (PBE) of LiTl3Se after structural relaxation.

Results
Uncorrected formation energy: -0.011 eV per atom
Symmetry: Pm-3m, No. 221
Raw total energy: -12.55 eV/cell
Distance to the lowest polymorph of the same formula: 0.000 eV/atom

a = 5.1936 Å, b = 5.1936 Å, c = 5.1936 Å
α = 90.00°, β = 90.00°, γ = 90.00°
Fractional positions:
Li 0.0000 0.0000 0.0000
Tl 0.0000 0.0000 0.5000
Tl 0.0000 0.5000 0.0000
Tl 0.5000 0.0000 0.0000
Se 0.5000 0.5000 0.5000


Entry 5:
The following is a DFT calculation (PBE) of AcLuPuMg after structural relaxation.

Results
Symmetry: F-43m, No. 216
Energy relative to the elements: 0.210 eV/atom
Raw total energy: -23.72 eV/cell

a = 5.6248 Å, b = 5.6248 Å, c = 5.6248 Å
α = 60.00°, β = 60.00°, γ = 60.00°
Fractional positions:
Ac 0.0000 0.0000 0.0000
Lu 0.5000 0.5000 0.5000
Pu 0.2500 0.2500 0.2500
Mg 0.7500 0.7500 0.7500


Entry 6:
The following is a DFT calculation (PBE) of ScAg3Se after structural relaxation.

Results
Uncorrected formation energy: 0.469 eV per atom
Symmetry: Pm-3m, No. 221
Raw total energy: -16.03 eV/cell
Distance to the lowest polymorph of the same formula: 0.000 eV/atom

a = 5.0060 Å, b = 5.0060 Å, c = 5.0060 Å
α = 90.00°, β = 90.00°, γ = 90.00°
Fractional positions:
Sc 0.0000 0.0000 0.0000
Ag 0.0000 0.5000 0.5000
Ag 0.5000 0.0000 0.5000
Ag 0.5000 0.5000 0.0000
Se 0.5000 0.5000 0.5000


Entry 7:
The following is a DFT calculation (PBE) of Pm2Si2Ge after structural relaxation.

Results
Uncorrected formation energy: -0.646 eV per atom
Symmetry: P4/mbm, No. 127
Raw total energy: -56.39 eV/cell
Distance to the lowest polymorph of the same formula: 0.031 eV/atom

a = 7.2187 Å, b = 7.2187 Å, c = 4.3083 Å
α = 90.00°, β = 90.00°, γ = 90.00°
Fractional positions:
Pm 0.1821 0.3179 0.0000
Pm 0.3179 0.8179 0.0000
Pm 0.6821 0.1821 0.0000
Pm 0.8179 0.6821 0.0000
Si 0.1164 0.6164 0.5000
Si 0.3836 0.1164 0.5000
Si 0.6164 0.8836 0.5000
Si 0.8836 0.3836 0.5000
Ge 0.0000 0.0000 0.5000
Ge 0.5000 0.5000 0.5000


Entry 8:
The following is a DFT calculation (PBE) of Eu2PaO4 after structural relaxation.

Results
Uncorrected formation energy: -2.925 eV per atom
Symmetry: I4/mmm, No. 139
Raw total energy: -70.35 eV/cell

a = 7.1520 Å, b = 7.1520 Å, c = 7.1520 Å
α = 143.70°, β = 143.70°, γ = 52.27°
Fractional positions:
Eu 0.1511 0.1511 0.0000
Eu 0.8489 0.8489 0.0000
Pa 0.5000 0.5000 0.0000
O 0.0000 0.5000 0.5000
O 0.3283 0.3283 0.0000
O 0.5000 0.0000 0.5000
O 0.6717 0.6717 0.0000